Record 1
# Ca2Tl2Ag, optimized geometry, DFT GGA-PBE
# Magnetization in μB per atom: 0.00
# Calculated formation energy in eV per atom: -0.108
# Final energy in eV/atom: -2.43
data_Ca2Tl2Ag
_space_group_name_H-M_alt 'P 4/m b m'
_space_group_IT_number 127
_space_group_name_Hall '-P 4 2ab'
_cell_length_a 8.114
_cell_length_b 8.114
_cell_length_c 4.684
_cell_angle_alpha 90.00
_cell_angle_beta 90.00
_cell_angle_gamma 90.00
loop_
_atom_site_label
_atom_site_type_symbol
_atom_site_fract_x
_atom_site_fract_y
_atom_site_fract_z
_atom_site_occupancy
Ca1 Ca 0.158 0.342 0.000 1
Tl1 Tl 0.149 0.649 0.500 1
Ag1 Ag 0.000 0.000 0.000 1

***

Record 2
# Mg2Ge2Pd7, optimized geometry, DFT GGA-PBE
# Magnetization in μB per atom: 0.00
# Calculated formation energy in eV per atom: -0.370
# Final energy in eV/atom: -4.80
data_Mg2Ge2Pd7
_space_group_name_H-M_alt 'C 1 2/m 1'
_space_group_IT_number 12
_space_group_name_Hall '-C 2y'
_cell_length_a 8.924
_cell_length_b 7.783
_cell_length_c 5.676
_cell_angle_alpha 90.00
_cell_angle_beta 90.09
_cell_angle_gamma 90.00
loop_
_atom_site_label
_atom_site_type_symbol
_atom_site_fract_x
_atom_site_fract_y
_atom_site_fract_z
_atom_site_occupancy
Mg1 Mg 0.000 0.196 0.000 1
Ge1 Ge 0.221 0.500 0.500 1
Pd1 Pd 0.000 0.000 0.500 1
Pd2 Pd 0.000 0.500 0.239 1
Pd3 Pd 0.250 0.250 0.244 1

***

Record 3
# ErFe7Co5, optimized geometry, DFT GGA-PBE
# Magnetization in μB per atom: 1.92
# Calculated formation energy in eV per atom: -0.085
# Final energy in eV/atom: -7.73
data_ErFe7Co5
_space_group_name_H-M_alt 'I m m 2'
_space_group_IT_number 44
_space_group_name_Hall 'I 2 -2'
_cell_length_a 4.738
_cell_length_b 8.339
_cell_length_c 8.310
_cell_angle_alpha 90.00
_cell_angle_beta 90.00
_cell_angle_gamma 90.00
loop_
_atom_site_label
_atom_site_type_symbol
_atom_site_fract_x
_atom_site_fract_y
_atom_site_fract_z
_atom_site_occupancy
Er1 Er 0.000 0.000 0.000 1
Fe1 Fe 0.000 0.000 0.359 1
Fe2 Fe 0.000 0.000 0.644 1
Fe3 Fe 0.000 0.277 0.499 1
Fe4 Fe 0.000 0.358 0.001 1
Fe5 Fe 0.000 0.500 0.727 1
Co1 Co 0.000 0.500 0.275 1
Co2 Co 0.250 0.250 0.249 1

***

Record 4
# Ac2Cd3Cu, optimized geometry, DFT GGA-PBE
# Magnetization in μB per atom: 0.00
# Calculated formation energy in eV per atom: -0.256
# Final energy in eV/atom: -2.77
data_Ac2Cd3Cu
_space_group_name_H-M_alt 'P m m 2'
_space_group_IT_number 25
_space_group_name_Hall 'P 2 -2'
_cell_length_a 3.943
_cell_length_b 5.001
_cell_length_c 8.659
_cell_angle_alpha 90.00
_cell_angle_beta 90.00
_cell_angle_gamma 90.00
loop_
_atom_site_label
_atom_site_type_symbol
_atom_site_fract_x
_atom_site_fract_y
_atom_site_fract_z
_atom_site_occupancy
Ac1 Ac 0.000 0.000 0.000 1
Ac2 Ac 0.000 0.500 0.467 1
Cd1 Cd 0.500 0.000 0.638 1
Cd2 Cd 0.500 0.500 0.152 1
Cd3 Cd 0.500 0.500 0.811 1
Cu1 Cu 0.500 0.000 0.313 1

***

Record 5
# K2TbRe2N6, optimized geometry, DFT GGA-PBE
# Magnetization in μB per atom: 0.09
# Final energy in eV/atom: -7.78
# Formation energy without anion corrections in meV per atom: -351
data_K2TbRe2N6
_space_group_name_H-M_alt 'C 1 2/m 1'
_space_group_IT_number 12
_space_group_name_Hall '-C 2y'
_cell_length_a 10.945
_cell_length_b 6.294
_cell_length_c 7.446
_cell_angle_alpha 90.00
_cell_angle_beta 122.27
_cell_angle_gamma 90.00
loop_
_atom_site_label
_atom_site_type_symbol
_atom_site_fract_x
_atom_site_fract_y
_atom_site_fract_z
_atom_site_occupancy
K1 K 0.215 0.000 0.186 1
Tb1 Tb 0.000 0.000 0.500 1
Re1 Re 0.052 0.500 0.210 1
N1 N 0.016 0.262 0.742 1
N2 N 0.243 0.500 0.328 1

***

Record 6
# Na2SnSb2, optimized geometry, DFT GGA-PBE
# Magnetization in μB per atom: 0.00
# Final energy in eV/atom: -3.03
# Formation energy without anion corrections in meV per atom: -49
data_Na2SnSb2
_space_group_name_H-M_alt 'C 1 2/c 1'
_space_group_IT_number 15
_space_group_name_Hall '-C 2yc'
_cell_length_a 5.408
_cell_length_b 12.501
_cell_length_c 10.812
_cell_angle_alpha 90.00
_cell_angle_beta 104.20
_cell_angle_gamma 90.00
loop_
_atom_site_label
_atom_site_type_symbol
_atom_site_fract_x
_atom_site_fract_y
_atom_site_fract_z
_atom_site_occupancy
Na1 Na 0.138 0.125 0.024 1
Sn1 Sn 0.000 0.375 0.250 1
Sb1 Sb 0.000 0.008 0.750 1
Sb2 Sb 0.000 0.242 0.750 1

***

Record 7
# Cs2MgTcPb, optimized geometry, DFT GGA-PBE
# Magnetization in μB per atom: 0.30
# Calculated formation energy in eV per atom: 1.132
# Final energy in eV/atom: -2.34
data_Cs2MgTcPb
_space_group_name_H-M_alt 'P 4/m m m'
_space_group_IT_number 123
_space_group_name_Hall '-P 4 2'
_cell_length_a 7.134
_cell_length_b 7.134
_cell_length_c 5.108
_cell_angle_alpha 90.00
_cell_angle_beta 90.00
_cell_angle_gamma 90.00
loop_
_atom_site_label
_atom_site_type_symbol
_atom_site_fract_x
_atom_site_fract_y
_atom_site_fract_z
_atom_site_occupancy
Cs1 Cs 0.000 0.500 0.000 1
Mg1 Mg 0.000 0.000 0.000 1
Tc1 Tc 0.000 0.000 0.500 1
Pb1 Pb 0.500 0.500 0.500 1

***

Record 8
# CaNd2Se4, optimized geometry, DFT GGA-PBE
# Magnetization in μB per atom: 0.00
# Final energy in eV/atom: -5.51
# Formation energy without anion corrections in meV per atom: -1875
data_CaNd2Se4
_space_group_name_H-M_alt 'C m c m'
_space_group_IT_number 63
_space_group_name_Hall '-C 2c 2'
_cell_length_a 4.173
_cell_length_b 13.849
_cell_length_c 14.284
_cell_angle_alpha 90.00
_cell_angle_beta 90.00
_cell_angle_gamma 90.00
loop_
_atom_site_label
_atom_site_type_symbol
_atom_site_fract_x
_atom_site_fract_y
_atom_site_fract_z
_atom_site_occupancy
Ca1 Ca 0.000 0.115 0.250 1
Nd1 Nd 0.000 0.366 0.073 1
Se1 Se 0.000 0.000 0.000 1
Se2 Se 0.000 0.275 0.621 1
Se3 Se 0.000 0.468 0.250 1

***

The lowest final energy belongs to which entry?
K2TbRe2N6